The following is a DFT calculation (PBE-GGA) of ThSc5Ru4 after structural relaxation.

Output
Calculated formation energy: -0.44 eV/atom
SG: No. 123
V: 190 Å³/cell

Geometry as CIF:
```
data_ThSc5Ru4
_cell_length_a 3.239
_cell_length_b 3.239
_cell_length_c 18.104
_cell_angle_alpha 90.00
_cell_angle_beta 90.00
_cell_angle_gamma 90.00
_space_group_name_H-M_alt 'P 1'
_space_group_IT_number 1
loop_
_space_group_symop_operation_xyz
'x,y,z'
loop_
_atom_site_label
_atom_site_fract_x
_atom_site_fract_y
_atom_site_fract_z
Th1 0.000 0.000 0.000
Sc1 0.500 0.500 0.151
Sc2 0.500 0.500 0.325
Sc3 0.500 0.500 0.500
Sc4 0.500 0.500 0.675
Sc5 0.500 0.500 0.849
Ru1 0.000 0.000 0.231
Ru2 0.000 0.000 0.411
Ru3 0.000 0.000 0.589
Ru4 0.000 0.000 0.769
```